DFT (PBE-GGA) results for K2PaBi2Se6 after structural relaxation.

Space-group type   C2/m (12)
Crystal system   monoclinic
E_tot   -51.0 eV/f.u.

Lattice parameters (Å, degrees): 7.3716 7.3716 8.2963 98.93 98.93 119.70
With the nearest neighbours (Å) after each atom.
Atoms (fractional coordinates):
1 K 0.1702 0.8298 0.0000  6 Se 3.37-3.40
2 K 0.8298 0.1702 0.0000  6 Se 3.37-3.40
3 Pa 0.0000 0.0000 0.5000  6 Se 2.87-2.89
4 Bi 0.3318 0.6682 0.5000  6 Se 2.95-3.00
5 Bi 0.6682 0.3318 0.5000  6 Se 2.95-3.00
6 Se 0.0698 0.3957 0.7053  1 Pa 2.89, 2 Bi 2.95-2.98
7 Se 0.2497 0.2497 0.2955  1 Pa 2.87, 2 Bi 3.00
8 Se 0.3957 0.0698 0.7053  1 Pa 2.89, 2 Bi 2.95-2.98
9 Se 0.6043 0.9302 0.2947  1 Pa 2.89, 2 Bi 2.95-2.98
10 Se 0.7503 0.7503 0.7045  1 Pa 2.87, 2 Bi 3.00
11 Se 0.9302 0.6043 0.2947  1 Pa 2.89, 2 Bi 2.95-2.98